Computed, not measured: a geometry-optimized KBa2Ni3F12 structure at the PBE+U level of DFT.

Properties
- Fermi-level density of states (states/eV/cell) = 8.308
- VASP energy (hartree per atom) = -0.1701
- V (A^3/atom) = 14.9

Unit cell a=7.117 b=7.117 c=7.117 alpha=62.24 beta=62.24 gamma=62.24
Fractional positions:
K1 0.000 0.000 0.000
Ba1 0.386 0.386 0.386
Ba2 0.614 0.614 0.614
Ni1 0.000 0.000 0.500
Ni2 0.000 0.500 0.000
Ni3 0.500 0.000 0.000
F1 0.131 0.719 0.719
F2 0.142 0.142 0.550
F3 0.142 0.550 0.142
F4 0.281 0.281 0.869
F5 0.281 0.869 0.281
F6 0.450 0.858 0.858
F7 0.550 0.142 0.142
F8 0.719 0.131 0.719
F9 0.719 0.719 0.131
F10 0.858 0.450 0.858
F11 0.858 0.858 0.450
F12 0.869 0.281 0.281